BeReAsSe2, relaxed, DFT PBEsol; space-group type = No. 123; formation energy without anion corrections = 1.06 eV per atom; magnetization = 1.56 Bohr magnetons per cell
1.0
4.447 0.000 0.000
0.000 4.447 0.000
0.000 0.000 4.189
Be Re As Se
1 1 1 2
Direct
0.000 0.000 0.000
0.500 0.500 0.500
0.000 0.000 0.500
0.000 0.500 0.000
0.500 0.000 0.000